Below is a relaxed structure of NaLaMnPt2, with properties calculated at the GGA-PBE level.

Values from the calculation:
Calculated total energy   -4.079 eV per atom
Space-group type   No. 123

Unit cell a=5.1729 b=5.3323 c=5.1729 alpha=90.00 beta=90.00 gamma=90.00
Each line ends with the local moment (μB).
Sites, in units of the cell vectors:
Na: 0.0000 0.5000 0.0000  0.00
Mn: 0.5000 0.5000 0.5000  -0.40
Pt: 0.0000 0.0000 0.5000  -0.02
Pt: 0.5000 0.0000 0.0000  -0.01
La: 0.0000 0.0000 0.0000  -0.01